Density functional theory data (PBE) for a geometry-optimized Ce2IBr4 structure.

Summary:
Calculated volume   258.1 Å³/cell
E_tot   -31.1 eV for the cell shown
Energy relative to the elements, uncorrected   -1.563 eV per atom

abc: 11.0963 11.0963 11.0963
angles: 27.55 27.55 27.55
Fractional coordinates of all 7 atoms:
Ce 0.0995 0.0995 0.0995
Ce 0.9005 0.9005 0.9005
I 0.0000 0.0000 0.0000
Br 0.1988 0.1988 0.1988
Br 0.4124 0.4124 0.4124
Br 0.5876 0.5876 0.5876
Br 0.8012 0.8012 0.8012

=====

Density functional theory data (PBE) for a geometry-optimized Ca2In3Ga structure.

Summary:
Calculated volume   171.5 Å³/cell
E_tot   -17.1 eV for the cell shown
Energy relative to the lowest polymorph listed for this composition   70 meV/atom
ΔE_f   -0.316 eV per atom

abc: 8.9473 8.9473 8.9473
angles: 151.69 149.59 42.02
Fractional coordinates of all 6 atoms:
Ca 0.0000 0.0000 0.0000
Ca 0.7734 0.2734 0.5000
In 0.1796 0.6796 0.5000
In 0.3478 0.8478 0.5000
In 0.5895 0.5895 0.0000
Ga 0.4314 0.4314 0.0000

=====

DOS at the Fermi energy, respectively: 19.8, 3.4 states/eV/f.u..